Computed, not measured: an optimized crystal structure of Ba2UCo2S6 at the PBE level of DFT.

```
11
Lattice="6.098 -3.566 0.000 6.098 3.566 0.000 -4.173 0.000 6.293" Properties=species:S:1:pos:R:3 pbc="T T T"
Ba 1.919 0.000 1.342
Ba 6.104 0.000 4.951
U -2.087 0.000 3.147
Co 2.171 0.000 5.199
Co 5.852 0.000 1.095
S 4.655 1.815 1.339
S 0.289 0.000 4.099
S 3.367 1.815 4.955
S 4.655 -1.815 1.339
S 7.734 0.000 2.194
S 3.367 -1.815 4.955
```

Raw formation energy in eV per formula unit: -13.3
Space group: C2/m, No. 12